Record 1
First-principles (PBE) data for a relaxed Nd8SmY2 crystal, as listed in Alexandria.

E above lowest polymorph (eV per atom): 0.000
Energy relative to the elements (eV per atom): 0.01
DOS at the Fermi energy (states/eV/f.u.): 17.29
V (Å³/atom): 34.6
Final energy (eV/atom): -5.06

a = 18.6342 Å, b = 5.1764 Å, c = 8.1788 Å
α = 90.00°, β = 105.24°, γ = 90.00°
With the nearest neighbours (Å) after each atom.
Space group C2/m (No. 12)
Symmetry-distinct sites (fractional):
Nd 0.0461 0.0000 0.2277 (multiplicity 4)  1 Y 3.65, 9 Nd 3.65-3.67, 2 Sm 3.66
Nd 0.0913 0.5000 0.9542 (multiplicity 4)  3 Y 3.65, 8 Nd 3.65-3.67, 1 Sm 3.66
Nd 0.1369 0.0000 0.6838 (multiplicity 4)  3 Y 3.63-3.65, 7 Nd 3.65-3.67, 2 Sm 3.67
Nd 0.1820 0.5000 0.4101 (multiplicity 4)  8 Nd 3.65-3.67, 1 Sm 3.65, 3 Y 3.66-3.67
Sm 0.0000 0.5000 0.5000 (multiplicity 2)  12 Nd 3.65-3.67
Y 0.2270 0.0000 0.1352 (multiplicity 4)  10 Nd 3.63-3.67, 2 Y 3.65

=====

Record 2
First-principles (PBE) data for a relaxed Nd2Sm2Y5 crystal, as listed in Alexandria.

E above lowest polymorph (eV per atom): 0.073
Energy relative to the elements (eV per atom): 0.21
DOS at the Fermi energy (states/eV/f.u.): 15.62
V (Å³/atom): 34.1
Final energy (eV/atom): -5.49

a = 15.0830 Å, b = 11.8947 Å, c = 6.8376 Å
α = 90.00°, β = 90.00°, γ = 90.00°
With the nearest neighbours (Å) after each atom.
Space group Ima2 (No. 46)
Symmetry-distinct sites (fractional):
Nd 0.1273 0.0024 0.0000 (multiplicity 8)  4 Y 3.37-3.61, 2 Sm 3.59-3.64, 1 Nd 3.70
Sm 0.0000 0.0000 0.5484 (multiplicity 4)  4 Y 3.28-3.62, 2 Nd 3.64
Sm 0.2500 0.5097 0.9496 (multiplicity 4)  4 Y 3.43-3.66, 2 Nd 3.59, 2 Sm 3.83
Y 0.0528 0.2436 0.3553 (multiplicity 8)  5 Y 3.22-3.60, 1 Sm 3.28, 1 Nd 3.37
Y 0.1429 0.7342 0.1702 (multiplicity 8)  4 Y 3.22-3.44, 1 Nd 3.40, 1 Sm 3.47
Y 0.2500 0.2458 0.1524 (multiplicity 4)  6 Y 3.28-3.60, 2 Sm 3.43-3.66, 2 Nd 3.59

=====

Record 3
First-principles (PBE) data for a relaxed NdSm5Y5 crystal, as listed in Alexandria.

E above lowest polymorph (eV per atom): 0.000
Energy relative to the elements (eV per atom): 0.26
DOS at the Fermi energy (states/eV/f.u.): 20.26
V (Å³/atom): 34.2
Final energy (eV/atom): -5.25

a = 18.8257 Å, b = 6.0402 Å, c = 7.0143 Å
α = 90.00°, β = 109.46°, γ = 90.00°
With the nearest neighbours (Å) after each atom.
Space group C2/m (No. 12)
Symmetry-distinct sites (fractional):
Nd 0.0000 0.0000 0.0000 (multiplicity 2)  2 Y 3.02
Sm 0.0000 0.0000 0.5000 (multiplicity 2)  2 Nd 3.51, 4 Y 3.59-3.66, 4 Sm 3.75
Sm 0.1252 0.5000 0.6384 (multiplicity 4)  4 Sm 3.57-3.75, 7 Y 3.59-4.00
Sm 0.1706 0.5000 0.1829 (multiplicity 4)  3 Y 3.04-3.23
Y 0.0000 0.5000 0.0000 (multiplicity 2)  2 Nd 3.02, 2 Sm 3.04
Y 0.1766 0.0000 0.9273 (multiplicity 4)  5 Sm 3.22-3.59, 2 Y 3.46-3.56, 1 Nd 3.53
Y 0.1792 0.0000 0.4222 (multiplicity 4)  4 Sm 3.23-3.59, 2 Y 3.46-3.56

=====

Record 4
First-principles (PBE) data for a relaxed Nd3Sm5Y4 crystal, as listed in Alexandria.

E above lowest polymorph (eV per atom): 0.200
Energy relative to the elements (eV per atom): 0.21
DOS at the Fermi energy (states/eV/f.u.): 20.01
V (Å³/atom): 34.3
Final energy (eV/atom): -5.10

a = 16.2434 Å, b = 6.0202 Å, c = 9.3889 Å
α = 90.00°, β = 116.39°, γ = 90.00°
With the nearest neighbours (Å) after each atom.
Space group C2/m (No. 12)
Symmetry-distinct sites (fractional):
Nd 0.0000 0.0000 0.0000 (multiplicity 2)  2 Sm 3.01
Nd 0.2087 0.5000 0.2304 (multiplicity 4)  3 Sm 3.11-3.26, 2 Y 3.33-3.43
Sm 0.0000 0.5000 0.0000 (multiplicity 2)  4 Nd 3.01-3.11
Sm 0.0754 0.0000 0.6986 (multiplicity 4)  2 Nd 3.26-3.55, 1 Sm 3.43
Sm 0.1727 0.0000 0.3855 (multiplicity 4)  4 Nd 3.25-3.50, 3 Y 3.49-3.59
Y 0.0811 0.5000 0.4399 (multiplicity 4)  2 Y 3.29-3.69, 1 Nd 3.43, 3 Sm 3.49-3.59
Y 0.2103 0.5000 0.8770 (multiplicity 4)  3 Nd 3.33-3.60, 3 Sm 3.66-3.72, 3 Y 3.66-3.69

=====

What is the formula in the fourth record?
Nd3Sm5Y4

=====

Which of these has the lowest V?
Nd2Sm2Y5

=====

The lowest energy relative to the elements belongs to which entry?
Nd8SmY2